Entry 1:
Here is a relaxed Ca3Ga5Br12 crystal from Alexandria via LeMat-Bulk. Energies are from PBE.

a b c (Å): 15.2208 15.2208 15.2208
angles (deg): 109.47 109.47 109.47
Sites, in units of the cell vectors:
Ca (0.1250, 0.2500, 0.3750)
Ca (0.1250, 0.3750, 0.7500)
Ca (0.2500, 0.3750, 0.1250)
Ca (0.2500, 0.8750, 0.6250)
Ca (0.3750, 0.1250, 0.2500)
Ca (0.3750, 0.7500, 0.1250)
Ca (0.6250, 0.2500, 0.8750)
Ca (0.6250, 0.8750, 0.7500)
Ca (0.7500, 0.1250, 0.3750)
Ca (0.7500, 0.6250, 0.8750)
Ca (0.8750, 0.6250, 0.2500)
Ca (0.8750, 0.7500, 0.6250)
Ga (0.0000, 0.0000, 0.0000)
Ga (0.0000, 0.0000, 0.5000)
Ga (0.0000, 0.5000, 0.0000)
Ga (0.0000, 0.5000, 0.5000)
Ga (0.1250, 0.7500, 0.8750)
Ga (0.1250, 0.8750, 0.2500)
Ga (0.2500, 0.1250, 0.8750)
Ga (0.2500, 0.6250, 0.3750)
Ga (0.3750, 0.2500, 0.6250)
Ga (0.3750, 0.6250, 0.7500)
Ga (0.5000, 0.0000, 0.0000)
Ga (0.5000, 0.0000, 0.5000)
Ga (0.5000, 0.5000, 0.0000)
Ga (0.5000, 0.5000, 0.5000)
Ga (0.6250, 0.3750, 0.2500)
Ga (0.6250, 0.7500, 0.3750)
Ga (0.7500, 0.3750, 0.6250)
Ga (0.7500, 0.8750, 0.1250)
Ga (0.8750, 0.1250, 0.7500)
Ga (0.8750, 0.2500, 0.1250)
Br (0.0559, 0.2269, 0.1293)
Br (0.0559, 0.3290, 0.9266)
Br (0.0734, 0.6293, 0.4024)
Br (0.0734, 0.9441, 0.6710)
Br (0.0976, 0.7269, 0.6710)
Br (0.0976, 0.8707, 0.4266)
Br (0.1293, 0.0559, 0.2269)
Br (0.1293, 0.5734, 0.9024)
Br (0.1710, 0.2269, 0.5976)
Br (0.1710, 0.4441, 0.5734)
Br (0.2269, 0.1293, 0.0559)
Br (0.2269, 0.5976, 0.1710)
Br (0.2731, 0.3290, 0.9024)
Br (0.2731, 0.4441, 0.3707)
Br (0.3290, 0.9024, 0.2731)
Br (0.3290, 0.9266, 0.0559)
Br (0.3707, 0.2731, 0.4441)
Br (0.3707, 0.5976, 0.9266)
Br (0.4024, 0.0734, 0.6293)
Br (0.4024, 0.8290, 0.7731)
Br (0.4266, 0.0976, 0.8707)
Br (0.4266, 0.8290, 0.5559)
Br (0.4441, 0.3707, 0.2731)
Br (0.4441, 0.5734, 0.1710)
Br (0.5559, 0.4266, 0.8290)
Br (0.5559, 0.6293, 0.7269)
Br (0.5734, 0.1710, 0.4441)
Br (0.5734, 0.9024, 0.1293)
Br (0.5976, 0.1710, 0.2269)
Br (0.5976, 0.9266, 0.3707)
Br (0.6293, 0.4024, 0.0734)
Br (0.6293, 0.7269, 0.5559)
Br (0.6710, 0.0734, 0.9441)
Br (0.6710, 0.0976, 0.7269)
Br (0.7269, 0.5559, 0.6293)
Br (0.7269, 0.6710, 0.0976)
Br (0.7731, 0.4024, 0.8290)
Br (0.7731, 0.8707, 0.9441)
Br (0.8290, 0.5559, 0.4266)
Br (0.8290, 0.7731, 0.4024)
Br (0.8707, 0.4266, 0.0976)
Br (0.8707, 0.9441, 0.7731)
Br (0.9024, 0.1293, 0.5734)
Br (0.9024, 0.2731, 0.3290)
Br (0.9266, 0.0559, 0.3290)
Br (0.9266, 0.3707, 0.5976)
Br (0.9441, 0.6710, 0.0734)
Br (0.9441, 0.7731, 0.8707)

Values from the calculation:
The value obtained for the raw formation energy is -1.052 eV/atom. The value obtained for the magnetic moment is 0.000 μB/f.u. The calculation puts the electronic total energy at -3.11 eV per atom. Its crystal system is cubic.

Entry 2:
Here is a relaxed CaGa2Br6 crystal from Alexandria via LeMat-Bulk. Energies are from PBE.

a b c (Å): 9.7881 9.7881 7.1035
angles (deg): 97.47 97.47 76.90
Sites, in units of the cell vectors:
Ca (0.0699, 0.9301, 0.7500)
Ca (0.9301, 0.0699, 0.2500)
Ga (0.3427, 0.4965, 0.7435)
Ga (0.4965, 0.3427, 0.2435)
Ga (0.5035, 0.6573, 0.7565)
Ga (0.6573, 0.5035, 0.2565)
Br (0.0248, 0.1956, 0.6108)
Br (0.1299, 0.6149, 0.8639)
Br (0.1956, 0.0248, 0.1108)
Br (0.2744, 0.4089, 0.4021)
Br (0.3851, 0.8701, 0.6361)
Br (0.4089, 0.2744, 0.9021)
Br (0.5911, 0.7256, 0.0979)
Br (0.6149, 0.1299, 0.3639)
Br (0.7256, 0.5911, 0.5979)
Br (0.8044, 0.9752, 0.8892)
Br (0.8701, 0.3851, 0.1361)
Br (0.9752, 0.8044, 0.3892)

Values from the calculation:
The energy above the most stable polymorph in this dataset is 0.000 eV/f.u. The value obtained for the raw formation energy is -1.125 eV/atom. The value obtained for the magnetic moment is 0.000 μB/f.u. The calculation puts the electronic total energy at -3.14 eV per atom. Its crystal system is monoclinic.

Please write out number 2 again, unchanged.
Here is a relaxed CaGa2Br6 crystal from Alexandria via LeMat-Bulk. Energies are from PBE.

a b c (Å): 9.7881 9.7881 7.1035
angles (deg): 97.47 97.47 76.90
Sites, in units of the cell vectors:
Ca (0.0699, 0.9301, 0.7500)
Ca (0.9301, 0.0699, 0.2500)
Ga (0.3427, 0.4965, 0.7435)
Ga (0.4965, 0.3427, 0.2435)
Ga (0.5035, 0.6573, 0.7565)
Ga (0.6573, 0.5035, 0.2565)
Br (0.0248, 0.1956, 0.6108)
Br (0.1299, 0.6149, 0.8639)
Br (0.1956, 0.0248, 0.1108)
Br (0.2744, 0.4089, 0.4021)
Br (0.3851, 0.8701, 0.6361)
Br (0.4089, 0.2744, 0.9021)
Br (0.5911, 0.7256, 0.0979)
Br (0.6149, 0.1299, 0.3639)
Br (0.7256, 0.5911, 0.5979)
Br (0.8044, 0.9752, 0.8892)
Br (0.8701, 0.3851, 0.1361)
Br (0.9752, 0.8044, 0.3892)

Values from the calculation:
The energy above the most stable polymorph in this dataset is 0.000 eV/f.u. The value obtained for the raw formation energy is -1.125 eV/atom. The value obtained for the magnetic moment is 0.000 μB/f.u. The calculation puts the electronic total energy at -3.14 eV per atom. Its crystal system is monoclinic.

Question: Which of these has the lowest electronic total energy?
Answer: CaGa2Br6

Question: Which formula does entry 1 have?
Answer: Ca3Ga5Br12